A plane-wave DFT calculation with SCAN was carried out for a PBEsol-optimized structure of Ca4Bi2O.

abc: 8.8427 8.8427 8.8427
angles: 149.15 149.15 44.18
Fractional coordinates of all 7 atoms:
Ca1 0.0000 0.5000 0.5000
Ca2 0.1625 0.1625 0.0000
Ca3 0.5000 0.0000 0.5000
Ca4 0.8375 0.8375 0.0000
Bi1 0.3589 0.3589 0.0000
Bi2 0.6411 0.6411 0.0000
O1 0.0000 0.0000 0.0000

Computed properties:
SG: I4/mmm (139)
Electronic total energy (eV per atom): -30.513
Uncorrected formation energy (eV per atom): -1.649

A plane-wave DFT calculation with SCAN was carried out for a PBEsol-optimized structure of Re2PtRhW.

abc: 4.5851 4.5851 4.6333
angles: 90.00 90.00 90.00
Fractional coordinates of all 5 atoms:
Re1 0.0000 0.5000 0.0000
Re2 0.5000 0.0000 0.0000
Pt1 0.0000 0.0000 0.0000
Rh1 0.0000 0.0000 0.5000
W1 0.5000 0.5000 0.5000

Computed properties:
SG: P4/mmm (123)
Electronic total energy (eV per atom): -60.603
Calculated formation energy (eV/atom): 2.57

A plane-wave DFT calculation with SCAN was carried out for a PBEsol-optimized structure of BeSbIr3.

abc: 4.1967 4.1967 4.1967
angles: 90.00 90.00 90.00
Fractional coordinates of all 5 atoms:
Be1 0.0000 0.0000 0.0000
Sb1 0.5000 0.5000 0.5000
Ir1 0.0000 0.0000 0.5000
Ir2 0.0000 0.5000 0.0000
Ir3 0.5000 0.0000 0.0000

Computed properties:
SG: Pm-3m (221)
Electronic total energy (eV per atom): -50.570
Uncorrected formation energy (eV per atom): 0.412

A plane-wave DFT calculation with SCAN was carried out for a PBEsol-optimized structure of LiMnPO4.

abc: 5.0141 5.0141 6.2565
angles: 90.00 90.00 112.78
Fractional coordinates of all 14 atoms:
Li1 0.0000 0.0000 0.0000
Li2 0.0000 0.0000 0.5000
Mn1 0.3210 0.6790 0.7500
Mn2 0.6790 0.3210 0.2500
P1 0.3514 0.6486 0.2500
P2 0.6486 0.3514 0.7500
O1 0.2411 0.7589 0.0520
O2 0.2411 0.7589 0.4480
O3 0.2417 0.3119 0.2500
O4 0.3119 0.2417 0.7500
O5 0.6881 0.7583 0.2500
O6 0.7583 0.6881 0.7500
O7 0.7589 0.2411 0.5520
O8 0.7589 0.2411 0.9480

Computed properties:
SG: Cmcm (63)
ΔE to the lowest computed polymorph (eV per atom): 0.0556
Electronic total energy (eV per atom): -10.428
Uncorrected formation energy (eV per atom): -2.432